# 1
# Cd2Ru2Pt

A relaxed Cd2Ru2Pt crystal (PBE, Alexandria via LeMat-Bulk).

a = 8.180 Å, b = 8.180 Å, c = 8.180 Å
α = 155.58°, β = 155.58°, γ = 34.81°
Atoms (fractional coordinates):
Cd  0.097  0.097  0.000
Cd  0.903  0.903  0.000
Ru  0.250  0.750  0.500
Ru  0.750  0.250  0.500
Pt  0.500  0.500  0.000

- calculated formation energy (eV/atom) = 0.44
- SG = I4/mmm (139)
- M_tot (Bohr magnetons per cell) = 0.0


# 2
# Cu5Mo

A relaxed Cu5Mo crystal (PBE, Alexandria via LeMat-Bulk).

a = 4.789 Å, b = 4.789 Å, c = 4.789 Å
α = 60.00°, β = 60.00°, γ = 60.00°
Atoms (fractional coordinates):
Cu  0.000  0.000  0.000
Cu  0.124  0.625  0.625
Cu  0.625  0.124  0.625
Cu  0.625  0.625  0.124
Cu  0.625  0.625  0.625
Mo  0.250  0.250  0.250

- calculated formation energy (eV/atom) = 0.32
- SG = F-43m (216)
- M_tot (Bohr magnetons per cell) = 2.1